4
Lattice="3.742 0.000 0.000 0.000 4.333 0.000 -1.871 -2.166 4.271" Properties=species:S:1:pos:R:3 comment="CdPAu2 | the Alexandria database | PBEsol | relaxed" polymorph_energy_ev_per_atom=0.0611 pbc="T T T"
Au 1.871 2.166 4.130
Au 1.871 0.000 2.048
Cd 1.871 2.166 0.065
P 0.000 2.166 2.298

4
Lattice="-1.328 -4.352 -0.823 1.016 -2.002 -4.042 3.147 -3.383 -0.178" Properties=species:S:1:pos:R:3 comment="CdPAu2 | the Alexandria database | PBEsol | relaxed" polymorph_energy_ev_per_atom=0.1837 pbc="T T T"
Au 0.709 -2.434 -1.261
Au 2.126 -7.303 -3.782
Cd 0.000 0.000 0.000
P 1.417 -4.869 -2.521

Computed, not measured: a geometry-optimized YCdPAu2 structure at the PBEsol level of DFT.

Structure (extended XYZ):
```
5
Lattice="5.254 0.000 0.000 0.000 5.254 0.000 0.000 0.000 5.851" Properties=species:S:1:pos:R:3 pbc="T T T"
Y 0.000 0.000 0.000
P 2.627 2.627 2.925
Au 0.000 2.627 0.000
Au 2.627 0.000 0.000
Cd 0.000 0.000 2.925
```

The calculation returns the following energy of formation from the pure elements values, one per record and in order: 0.143; 0.266; 1.154 eV/atom.